## Ag2H2Cl2O (PBE-GGA)

Data for a geometry-optimized Ag2H2Cl2O structure.

The structure in POSCAR format:
```
Ag2H2Cl2O
1.0
3.758 0.000 0.000
1.879 4.435 0.240
1.879 1.172 7.183
Ag H Cl O
2 2 2 1
direct
0.513 0.284 0.690
0.487 0.716 0.310
0.115 0.840 0.930
0.885 0.160 0.070
0.201 0.297 0.301
0.799 0.703 0.699
0.000 0.000 0.000
```

Density ... 4.3 g cm⁻³
Total energy ... -0.1267 hartree per atom

***

## CaGeBr2 (PBE-GGA)

Data for a geometry-optimized CaGeBr2 structure.

The structure in POSCAR format:
```
CaGeBr2
1.0
-0.461 -3.733 1.709
7.409 -0.479 0.953
-2.063 6.538 9.286
Ge Ca Br
2 2 4
direct
0.977 0.345 0.532
0.477 0.182 0.532
0.285 0.280 0.032
0.785 0.780 0.031
0.723 0.085 0.891
0.223 0.586 0.891
0.848 0.474 0.172
0.348 0.973 0.172
```

Density ... 2.6 g cm⁻³
Uncorrected formation energy ... -1.24 eV per atom